(1)
Y2TePb: relaxed, GGA-PBE.

abc: 4.425 4.425 7.679
angles: 106.80 106.80 60.03
Element x y z (fractional)
Y (0.247, 0.247, 0.240)
Y (0.753, 0.753, 0.760)
Te (0.000, 0.000, 0.500)
Pb (0.500, 0.500, 0.000)

Properties
The value obtained for the density of states at the Fermi level is 0.261 states/eV/atom. The formation energy from raw total energies comes out at -0.966 eV per atom. The energy above the most stable polymorph in this dataset comes out at 22 meV per atom.

(2)
YTePb: relaxed, GGA-PBE.

abc: 6.452 6.452 6.452
angles: 144.28 144.28 51.41
Element x y z (fractional)
Y (0.000, 0.000, 0.000)
Te (0.612, 0.612, 0.000)
Pb (0.328, 0.328, 0.000)

Properties
The value obtained for the density of states at the Fermi level is 0.865 states/eV/atom. The formation energy from raw total energies comes out at -0.703 eV per atom.